# 1
Entry from Alexandria: a relaxed Pu4GeH6 crystal (PBE-GGA).

Cell: 6.7973 6.7973 3.7500 Å, 90.00 90.00 120.00°
Closest atoms and distances in Å follow each position.
Space group P-6m2 (No. 187)
Inequivalent atoms, fractional coordinates:
Pu1 0.0000 0.0000 0.0000  9 H 2.36-2.37
Pu2 0.0288 0.5144 0.5000  6 H 2.33-2.52
Ge1 0.6667 0.3333 0.0000  6 Pu 2.84, 6 H 3.12
H1 0.2016 0.4032 0.0000  5 Pu 2.37-2.52
H2 0.2440 0.1220 0.5000  4 Pu 2.33-2.36, 2 H 2.49

# 2
Entry from Alexandria: a relaxed Tb2Si3 crystal (PBE-GGA).

Cell: 4.2203 24.2300 4.2622 Å, 90.00 90.00 90.00°
Closest atoms and distances in Å follow each position.
Space group Cmcm (No. 63)
Inequivalent atoms, fractional coordinates:
Tb1 0.0000 0.1181 0.2500  11 Si 3.14-3.41
Tb2 0.0000 0.2456 0.7500  4 Si 2.87-3.04, 4 Tb 3.01
Si1 0.0000 0.0227 0.7500  4 Si 2.40
Si2 0.0000 0.3349 0.2500  1 Si 2.30
Si3 0.0000 0.4297 0.2500  3 Si 2.30-2.40

Output
* formation energy from raw total energies: -0.2861 eV per atom
* energy above the most stable polymorph in this dataset: 400 meV per atom

# 3
Entry from Alexandria: a relaxed K2SmReN4 crystal (PBE-GGA).

Cell: 6.0029 6.0029 9.1113 Å, 90.00 90.00 90.00°
Closest atoms and distances in Å follow each position.
Space group I-4 (No. 82)
Inequivalent atoms, fractional coordinates:
K1 0.0000 0.0000 0.0000  4 N 2.80
K2 0.0000 0.5000 0.2500  4 N 2.96
Sm1 0.0000 0.0000 0.5000  4 N 2.29
Re1 0.0000 0.5000 0.7500  4 N 1.84
N1 0.1391 0.2882 0.6367  1 Re 1.84

Output
* formation energy from raw total energies: -0.6028 eV per atom

# 4
Entry from Alexandria: a relaxed LaGdN crystal (PBE-GGA).

Cell: 3.6001 3.6001 6.4528 Å, 90.00 90.00 120.00°
Closest atoms and distances in Å follow each position.
Space group P3m1 (No. 156)
Inequivalent atoms, fractional coordinates:
La1 0.0000 0.0000 0.0000  3 N 2.58
Gd1 0.6667 0.3333 0.5702  3 N 2.42
N1 0.3333 0.6667 0.7623  3 Gd 2.42, 3 La 2.58

Output
* formation energy from raw total energies: -0.9359 eV per atom
* energy above the most stable polymorph in this dataset: 0 meV per atom

# 5
Entry from Alexandria: a relaxed Zr2BeW crystal (PBE-GGA).

Cell: 3.2747 3.2747 23.9177 Å, 90.00 90.00 120.00°
Closest atoms and distances in Å follow each position.
Space group R-3m (No. 166, hexagonal axes)
Inequivalent atoms, fractional coordinates:
Zr1 0.0000 0.0000 0.2458  3 Be 2.68, 3 W 2.82
Be1 0.0000 0.0000 0.5000  6 Zr 2.68
W1 0.0000 0.0000 0.0000  6 Zr 2.82

Output
* formation enthalpy at 0 K: 364 meV/atom

# 6
Entry from Alexandria: a relaxed YNi2Pd2 crystal (PBE-GGA).

Cell: 7.2609 7.2609 3.0335 Å, 90.00 90.00 90.00°
Closest atoms and distances in Å follow each position.
Space group P4/mbm (No. 127)
Inequivalent atoms, fractional coordinates:
Y1 0.0000 0.0000 0.0000  4 Pd 2.83, 2 Y 3.03, 8 Ni 3.12
Ni1 0.1622 0.3378 0.5000  6 Pd 2.59-2.64
Pd1 0.1340 0.6340 0.0000  6 Ni 2.59-2.64, 1 Pd 2.75, 2 Y 2.83

Output
* formation enthalpy at 0 K: -209 meV/atom
* energy above the most stable polymorph in this dataset: 124 meV per atom

# 7
Entry from Alexandria: a relaxed Eu2ThZn crystal (PBE-GGA).

Cell: 3.6484 3.6484 9.2174 Å, 90.00 90.00 90.00°
Closest atoms and distances in Å follow each position.
Space group P4/mmm (No. 123)
Inequivalent atoms, fractional coordinates:
Eu1 0.0000 0.0000 0.2078  4 Zn 3.21
Th1 0.5000 0.5000 0.5000  4 Th 3.65, 8 Eu 3.73
Zn1 0.5000 0.5000 0.0000  8 Eu 3.21

Output
* formation enthalpy at 0 K: 2 meV/atom
* energy above the most stable polymorph in this dataset: 0 meV per atom

# 8
Entry from Alexandria: a relaxed ReSnTe2I crystal (PBE-GGA).

Cell: 5.7207 5.7207 5.9034 Å, 90.00 90.00 90.00°
Closest atoms and distances in Å follow each position.
Space group P4/mmm (No. 123)
Inequivalent atoms, fractional coordinates:
Re1 0.0000 0.0000 0.0000  4 I 4.05, 8 Te 4.11
Sn1 0.5000 0.5000 0.5000  4 Te 2.86, 2 I 2.95
Te1 0.0000 0.5000 0.5000  2 Sn 2.86
I1 0.5000 0.5000 0.0000  2 Sn 2.95

Output
* formation energy from raw total energies: 1.4244 eV per atom
* energy above the most stable polymorph in this dataset: 800 meV per atom

# 9
Entry from Alexandria: a relaxed SrEu2P crystal (PBE-GGA).

Cell: 3.7824 3.7824 9.8582 Å, 90.00 90.00 90.00°
Closest atoms and distances in Å follow each position.
Space group P4/mmm (No. 123)
Inequivalent atoms, fractional coordinates:
Sr1 0.0000 0.0000 0.0000  4 Sr 3.78
Eu1 0.5000 0.5000 0.3430  4 P 3.09, 1 Eu 3.10
P1 0.0000 0.0000 0.5000  8 Eu 3.09

Output
* formation enthalpy at 0 K: -550 meV/atom
* energy above the most stable polymorph in this dataset: 17 meV per atom

# 10
Entry from Alexandria: a relaxed Li8In6Ag crystal (PBE-GGA).

Cell: 8.1058 8.1058 17.5943 Å, 90.00 90.00 120.00°
Closest atoms and distances in Å follow each position.
Space group R-3 (No. 148, hexagonal axes)
Inequivalent atoms, fractional coordinates:
Li1 0.0000 0.0000 0.1692  6 In 2.81-2.83
Li2 0.0025 0.3273 0.6196  5 In 2.90-2.99, 3 Li 3.15-3.18
In1 0.0007 0.6620 0.5491  7 Li 2.81-2.99, 1 Ag 2.88, 1 In 3.14
Ag1 0.0000 0.0000 0.5000  6 In 2.88

Output
* formation enthalpy at 0 K: -177 meV/atom

# 11
Entry from Alexandria: a relaxed LiSc2PdO4 crystal (PBE-GGA).

Cell: 4.2624 4.2624 10.1679 Å, 90.00 90.00 90.00°
Closest atoms and distances in Å follow each position.
Space group I-4m2 (No. 119)
Inequivalent atoms, fractional coordinates:
Li1 0.0000 0.0000 0.0000  4 O 2.17
Sc1 0.0000 0.0000 0.5000  6 O 2.17-2.24
Sc2 0.0000 0.5000 0.2500  6 O 2.12-2.15
Pd1 0.0000 0.5000 0.7500  4 O 2.15
O1 0.0000 0.0000 0.2798  3 Sc 2.15-2.24, 2 Pd 2.15
O2 0.0000 0.5000 0.0417  3 Sc 2.12-2.17, 2 Li 2.17

Output
* formation energy from raw total energies: -2.4775 eV per atom

# 12
Entry from Alexandria: a relaxed LaTaAl4 crystal (PBE-GGA).

Cell: 7.7141 7.7141 7.7141 Å, 90.00 90.00 90.00°
Closest atoms and distances in Å follow each position.
Space group F-43m (No. 216)
Inequivalent atoms, fractional coordinates:
La1 0.0000 0.0000 0.0000  12 Al 3.20, 4 Ta 3.34
Ta1 0.2500 0.2500 0.7500  12 Al 3.20, 4 La 3.34
Al1 0.1241 0.1241 0.3759  6 Al 2.71-2.75

Output
* formation enthalpy at 0 K: -173 meV/atom

# 13
Entry from Alexandria: a relaxed AlNiAs2Pb crystal (PBE-GGA).

Cell: 5.4444 5.4444 4.8105 Å, 90.00 90.00 90.00°
Closest atoms and distances in Å follow each position.
Space group P4/mmm (No. 123)
Inequivalent atoms, fractional coordinates:
Al1 0.0000 0.0000 0.0000  8 As 3.63, 4 Ni 3.85
Ni1 0.5000 0.5000 0.0000  2 Pb 2.41
As1 0.0000 0.5000 0.5000  2 Pb 2.72
Pb1 0.5000 0.5000 0.5000  2 Ni 2.41

Output
* formation enthalpy at 0 K: 1183 meV/atom
* energy above the most stable polymorph in this dataset: 817 meV per atom

# 14
Entry from Alexandria: a relaxed Ce4Ge3As crystal (PBE-GGA).

Cell: 5.9803 5.9803 5.9803 Å, 90.00 90.00 90.00°
Closest atoms and distances in Å follow each position.
Space group Pm-3m (No. 221)
Inequivalent atoms, fractional coordinates:
Ce1 0.0000 0.0000 0.0000  6 Ge 2.99
Ce2 0.0000 0.5000 0.5000  4 Ge 2.99, 2 As 2.99
Ge1 0.0000 0.0000 0.5000  6 Ce 2.99
As1 0.5000 0.5000 0.5000  6 Ce 2.99

Output
* formation enthalpy at 0 K: -847 meV/atom

# 15
Entry from Alexandria: a relaxed PaNb2Hg2Se6 crystal (PBE-GGA).

Cell: 6.1768 11.4562 9.5335 Å, 90.00 106.24 90.00°
Closest atoms and distances in Å follow each position.
Space group C2/m (No. 12)
Inequivalent atoms, fractional coordinates:
Pa1 0.0000 0.0000 0.0000  6 Se 2.74-2.81
Nb1 0.0000 0.3198 0.0000  6 Se 2.58-2.75
Hg1 0.0000 0.1689 0.5000  6 Se 3.48-3.73, 3 Hg 3.60-3.87
Se1 0.2150 0.5000 0.1742  1 Pa 2.74, 2 Nb 2.75
Se2 0.2446 0.1749 0.1843  2 Nb 2.58-2.67, 1 Pa 2.81

Output
* formation energy from raw total energies: -0.7703 eV per atom

# 16
Entry from Alexandria: a relaxed CuPbBr4 crystal (PBE-GGA).

Cell: 12.1655 8.1331 8.4771 Å, 90.00 99.43 90.00°
Closest atoms and distances in Å follow each position.
Space group C2/c (No. 15)
Inequivalent atoms, fractional coordinates:
Cu1 0.0000 0.1566 0.2500  4 Br 2.39-2.47
Pb1 0.2500 0.2500 0.0000  6 Br 3.01-3.13
Br1 0.0017 0.2608 0.9864  1 Cu 2.39
Br2 0.1978 0.0728 0.3018  1 Cu 2.47

Output
* formation energy from raw total energies: -0.5349 eV per atom
* energy above the most stable polymorph in this dataset: 0 meV per atom

# 17
Entry from Alexandria: a relaxed Hf2TaIn crystal (PBE-GGA).

Cell: 3.5221 3.5221 6.7975 Å, 90.00 90.00 90.00°
Closest atoms and distances in Å follow each position.
Space group P4/mmm (No. 123)
Inequivalent atoms, fractional coordinates:
Hf1 0.0000 0.0000 0.2310  4 Ta 2.94, 4 In 3.09, 1 Hf 3.14
Ta1 0.5000 0.5000 0.0000  8 Hf 2.94
In1 0.5000 0.5000 0.5000  8 Hf 3.09, 2 Ta 3.40

Output
* formation enthalpy at 0 K: -94 meV/atom

# 18
Entry from Alexandria: a relaxed In2F3 crystal (PBE-GGA).

Cell: 4.5197 6.0054 7.8895 Å, 104.96 102.76 100.99°
Closest atoms and distances in Å follow each position.
Space group P-1 (No. 2)
Inequivalent atoms, fractional coordinates:
In1 0.0572 0.0820 0.2351  4 F 2.21-2.45
In2 0.3293 0.4344 0.8143  3 F 2.10-2.24
F1 0.1252 0.4632 0.2148  3 In 2.24-2.50
F2 0.2327 0.2495 0.5350  2 In 2.10-2.21
F3 0.4189 0.7795 0.7620  3 In 2.20-2.45

Output
* formation energy from raw total energies: -2.0129 eV per atom

# 19
Entry from Alexandria: a relaxed BaYZr2 crystal (PBE-GGA).

Cell: 4.8196 4.8196 10.1948 Å, 90.00 90.00 90.00°
Closest atoms and distances in Å follow each position.
Space group I4/mmm (No. 139)
Inequivalent atoms, fractional coordinates:
Ba1 0.0000 0.0000 0.0000  4 Y 3.41, 8 Zr 3.51
Y1 0.0000 0.0000 0.5000  4 Ba 3.41, 8 Zr 3.51
Zr1 0.0000 0.5000 0.2500  4 Zr 3.41, 4 Ba 3.51, 4 Y 3.51

Output
* formation enthalpy at 0 K: 535 meV/atom
* energy above the most stable polymorph in this dataset: 261 meV per atom

# 20
Entry from Alexandria: a relaxed KH2Se crystal (PBE-GGA).

Cell: 3.3721 15.9174 10.2009 Å, 90.00 90.00 90.00°
Closest atoms and distances in Å follow each position.
Space group Ama2 (No. 40)
Inequivalent atoms, fractional coordinates:
K1 0.2500 0.1501 0.0000  1 H 2.47
H1 0.2500 0.1755 0.3498  1 Se 1.49
H2 0.2500 0.4949 0.5116  2 H 1.69
Se1 0.2500 0.2535 0.2700  1 H 1.49

Output
* energy above the most stable polymorph in this dataset: 0 meV per atom

Computed values of VASP energy (unit: eV/atom) for the preceding records, in sequence: -7.78; -5.39; -7.19; -10.05; -8.08; -5.89; -7.31; -3.43; -7.46; -2.48; -7.43; -5.46; -3.32; -6.13; -5.42; -2.95; -8.72; -4.23; -5.84; -2.89.